1.
Here is Li3BeV after structural relaxation from Alexandria. Energies are from PBE.

Cell and atoms, written as extended XYZ:
```
5
Lattice="4.389 0.000 0.000 0.000 4.389 0.000 0.000 0.000 4.389" Properties=species:S:1:pos:R:3 pbc="T T T"
Li 0.000 0.000 2.194
Li 0.000 2.194 0.000
Li 2.194 0.000 0.000
Be 0.000 0.000 0.000
V 2.194 2.194 2.194
```

Its excess energy over the best structure of this formula in the dataset is 0.0 meV per atom. The calculation puts the volume at 84.54 Å³ per cell. The value obtained for the total energy is -14.3 eV/cell. Its mass density is 1587 kg/m³.

2.
Here is RbAcSO4 after structural relaxation from Alexandria. Energies are from PBE.

Cell and atoms, written as extended XYZ:
```
7
Lattice="0.000 4.780 4.780 4.780 0.000 4.780 4.780 4.780 0.000" Properties=species:S:1:pos:R:3 pbc="T T T"
Rb 0.000 0.000 0.000
Ac 7.169 7.169 7.169
S 4.780 4.780 4.780
O 5.823 3.736 3.736
O 3.736 5.823 3.736
O 3.736 3.736 5.823
O 5.823 5.823 5.823
```

The calculation puts the volume at 218.37 Å³ per cell. The value obtained for the total energy is -38.5 eV/cell. The raw formation energy is -1.36 eV/atom. Its mass density is 3107 kg/m³.

3.
Here is Th2Co4P3Ir after structural relaxation from Alexandria. Energies are from PBE.

Cell and atoms, written as extended XYZ:
```
10
Lattice="3.999 0.000 0.000 0.000 3.999 0.000 0.000 0.000 9.590" Properties=species:S:1:pos:R:3 pbc="T T T"
Th 0.000 1.999 2.302
Th 1.999 0.000 7.287
Co 0.000 0.000 0.000
Co 0.000 1.999 6.090
Co 1.999 0.000 3.499
Co 1.999 1.999 0.000
P 0.000 1.999 8.389
P 1.999 0.000 1.201
P 1.999 1.999 4.795
Ir 0.000 0.000 4.795
```

The calculation puts the volume at 153.34 Å³ per cell. The value obtained for the total energy is -76.5 eV/cell. Its mass density is 10666 kg/m³.

4.
Here is Li2CO3 after structural relaxation from Alexandria. Energies are from PBE.

Cell and atoms, written as extended XYZ:
```
12
Lattice="4.655 0.000 0.000 -2.327 4.031 0.000 0.000 0.000 5.386" Properties=species:S:1:pos:R:3 pbc="T T T"
Li 0.000 2.687 0.000
Li 0.000 2.687 2.693
Li 2.327 1.344 0.000
Li 2.327 1.344 2.693
C 0.000 0.000 1.347
C 0.000 0.000 4.040
O -0.652 1.129 1.347
O -1.675 2.902 4.040
O 1.304 0.000 1.347
O 0.652 1.129 4.040
O 3.351 0.000 4.040
O 1.675 2.902 1.347
```

Its excess energy over the best structure of this formula in the dataset is 66.5 meV per atom. The calculation puts the volume at 101.06 Å³ per cell. The value obtained for the total energy is -77.8 eV/cell. The raw formation energy is -1.83 eV/atom. Its mass density is 2428 kg/m³.

5.
Here is Li10Mg6Hg after structural relaxation from Alexandria. Energies are from PBE.

Cell and atoms, written as extended XYZ:
```
17
Lattice="8.302 0.000 0.000 -4.151 7.189 0.000 0.000 0.000 5.979" Properties=species:S:1:pos:R:3 pbc="T T T"
Li -1.300 2.252 2.060
Li -2.850 4.937 3.919
Li 2.601 0.000 2.060
Li 1.300 2.252 3.919
Li 0.000 4.793 0.000
Li 0.000 4.793 2.989
Li 4.151 2.396 0.000
Li 4.151 2.396 2.989
Li 5.701 0.000 3.919
Li 2.850 4.937 2.060
Mg -1.417 2.455 5.073
Mg -2.733 4.735 0.906
Mg 2.835 0.000 5.073
Mg 1.417 2.455 0.906
Mg 5.467 0.000 0.906
Mg 2.733 4.735 5.073
Hg 0.000 0.000 0.000
```

The calculation puts the volume at 356.85 Å³ per cell. The value obtained for the total energy is -29.8 eV/cell. Its mass density is 1935 kg/m³.

6.
Here is Cs2ZrNi after structural relaxation from Alexandria. Energies are from PBE.

Cell and atoms, written as extended XYZ:
```
16
Lattice="13.958 0.000 0.000 0.000 13.958 0.000 0.000 0.000 4.690" Properties=species:S:1:pos:R:3 pbc="T T T"
Cs 1.083 10.469 0.586
Cs 3.490 1.083 4.104
Cs 3.490 5.896 1.759
Cs 5.896 10.469 2.931
Cs 8.063 3.490 2.931
Cs 10.469 8.063 1.759
Cs 10.469 12.875 4.104
Cs 12.875 3.490 0.586
Zr 0.000 0.000 2.345
Zr 0.000 6.979 3.518
Zr 6.979 0.000 1.173
Zr 6.979 6.979 0.000
Ni 0.000 0.000 0.000
Ni 0.000 6.979 1.173
Ni 6.979 0.000 3.518
Ni 6.979 6.979 2.345
```

The calculation puts the volume at 913.83 Å³ per cell. The value obtained for the total energy is -49.2 eV/cell. Its mass density is 3022 kg/m³.

7.
Here is YThHgC after structural relaxation from Alexandria. Energies are from PBE.

Cell and atoms, written as extended XYZ:
```
12
Lattice="3.661 0.000 0.000 -1.831 3.171 0.000 0.000 0.000 24.083" Properties=species:S:1:pos:R:3 pbc="T T T"
Y 0.000 0.000 0.000
Y 0.000 2.114 16.055
Y 1.831 1.057 8.028
Th 0.000 0.000 5.223
Th 0.000 2.114 21.278
Th 1.831 1.057 13.250
Hg 0.000 0.000 18.553
Hg 0.000 2.114 10.525
Hg 1.831 1.057 2.498
C 0.000 0.000 14.648
C 0.000 2.114 6.621
C 1.831 1.057 22.676
```

The calculation puts the volume at 279.57 Å³ per cell. The value obtained for the total energy is -74.5 eV/cell. Its mass density is 9507 kg/m³.

8.
Here is LiNpMoN3 after structural relaxation from Alexandria. Energies are from PBE.

Cell and atoms, written as extended XYZ:
```
12
Lattice="5.595 0.000 0.000 0.000 3.190 0.000 -2.352 0.000 7.853" Properties=species:S:1:pos:R:3 pbc="T T T"
Li -0.240 0.798 3.333
Li 3.483 2.393 4.520
Np 0.821 2.393 6.117
Np 2.422 0.798 1.736
Mo -1.968 0.798 6.880
Mo 5.211 2.393 0.973
N -0.520 0.798 5.360
N -0.826 2.393 7.735
N 0.976 2.393 2.484
N 2.267 0.798 5.370
N 4.069 0.798 0.118
N 3.762 2.393 2.493
```

The calculation puts the volume at 140.19 Å³ per cell. The value obtained for the total energy is -110.4 eV/cell. The raw formation energy is -0.75 eV/atom. Its mass density is 9047 kg/m³.

9.
Here is LaAg2Au2 after structural relaxation from Alexandria. Energies are from PBE.

Cell and atoms, written as extended XYZ:
```
10
Lattice="5.036 0.000 0.000 2.428 5.569 0.000 2.432 1.721 7.941" Properties=species:S:1:pos:R:3 pbc="T T T"
La 2.474 1.819 1.983
La 7.423 5.471 5.958
Ag 2.460 2.085 5.374
Ag 4.921 3.287 6.533
Ag 4.975 4.002 1.408
Ag 7.436 5.205 2.567
Au 4.907 5.886 7.817
Au 4.902 5.049 4.099
Au 4.994 2.241 3.843
Au 4.990 1.403 0.124
```

Its excess energy over the best structure of this formula in the dataset is 6.9 meV per atom. The calculation puts the volume at 222.72 Å³ per cell. The value obtained for the total energy is -38.6 eV/cell. Its mass density is 11162 kg/m³.

10.
Here is PrDy5ErTm2 after structural relaxation from Alexandria. Energies are from PBE.

Cell and atoms, written as extended XYZ:
```
18
Lattice="2.786 -9.898 0.000 2.786 9.898 0.000 0.000 0.000 10.629" Properties=species:S:1:pos:R:3 pbc="T T T"
Pr 2.786 5.896 5.314
Pr 2.786 -5.896 0.000
Dy 2.786 9.553 5.488
Dy 2.786 4.304 8.440
Dy 2.786 3.958 2.085
Dy 2.786 2.082 5.462
Dy 2.786 0.427 2.420
Dy 2.786 -0.427 7.734
Dy 2.786 -2.082 0.147
Dy 2.786 -3.958 7.399
Dy 2.786 -4.304 3.125
Dy 2.786 -9.553 0.174
Er 2.786 1.701 10.045
Er 2.786 -1.701 4.731
Tm 2.786 7.764 2.433
Tm 2.786 7.645 8.591
Tm 2.786 -7.645 3.277
Tm 2.786 -7.764 7.748
```

The calculation puts the volume at 586.21 Å³ per cell. The value obtained for the total energy is -79.8 eV/cell. Its mass density is 8263 kg/m³.

11.
Here is Ti4In5H after structural relaxation from Alexandria. Energies are from PBE.

Cell and atoms, written as extended XYZ:
```
10
Lattice="8.096 -1.527 0.000 8.096 1.527 0.000 -1.682 0.000 7.782" Properties=species:S:1:pos:R:3 pbc="T T T"
Ti -0.413 0.000 2.590
Ti 5.100 0.000 3.599
Ti 9.409 0.000 4.183
Ti 14.922 0.000 5.192
In 1.198 0.000 6.794
In 2.527 0.000 1.995
In 8.096 0.000 0.000
In 11.982 0.000 5.787
In 13.312 0.000 0.988
H 7.255 0.000 3.891
```

The calculation puts the volume at 192.35 Å³ per cell. The value obtained for the total energy is -49.0 eV/cell. Its mass density is 6618 kg/m³.

12.
Here is PrHfTe after structural relaxation from Alexandria. Energies are from PBE.

Cell and atoms, written as extended XYZ:
```
6
Lattice="3.773 0.000 0.000 -1.886 3.267 0.000 0.000 0.000 13.960" Properties=species:S:1:pos:R:3 pbc="T T T"
Pr 0.000 0.000 2.632
Pr 0.000 0.000 11.327
Hf 0.000 0.000 6.980
Hf 0.000 2.178 0.000
Te 0.000 2.178 5.084
Te 0.000 2.178 8.876
```

The calculation puts the volume at 172.10 Å³ per cell. The value obtained for the total energy is -38.6 eV/cell. The raw formation energy is -0.47 eV/atom. Its mass density is 8626 kg/m³.

What is the mass density in the first record?
1587 kg/m³

Copy entry 3 word for word.
Here is Th2Co4P3Ir after structural relaxation from Alexandria. Energies are from PBE.

Cell and atoms, written as extended XYZ:
```
10
Lattice="3.999 0.000 0.000 0.000 3.999 0.000 0.000 0.000 9.590" Properties=species:S:1:pos:R:3 pbc="T T T"
Th 0.000 1.999 2.302
Th 1.999 0.000 7.287
Co 0.000 0.000 0.000
Co 0.000 1.999 6.090
Co 1.999 0.000 3.499
Co 1.999 1.999 0.000
P 0.000 1.999 8.389
P 1.999 0.000 1.201
P 1.999 1.999 4.795
Ir 0.000 0.000 4.795
```

The calculation puts the volume at 153.34 Å³ per cell. The value obtained for the total energy is -76.5 eV/cell. Its mass density is 10666 kg/m³.

What is the volume in the first record?
84.54 Å³ per cell